Here is a geometry-optimized Li2F13 structure from Alexandria. Energies are from PBE-GGA.

Calculated values
E, eV/atom: -2.519
Formation energy without anion corrections, eV/atom: -0.64
Symmetry: P-1

Cell lengths 6.1883, 6.3126, 6.6545 Å; angles 115.69, 105.28, 102.03 degrees
Atoms (fractional coordinates):
Li (0.1198, 0.0370, 0.3310)
Li (0.8802, 0.9630, 0.6690)
F (0.0000, 0.0000, 0.0000)
F (0.0356, 0.7740, 0.4851)
F (0.1400, 0.2550, 0.9561)
F (0.2419, 0.4435, 0.8227)
F (0.3736, 0.9335, 0.4885)
F (0.4082, 0.4356, 0.3777)
F (0.4129, 0.8819, 0.9656)
F (0.5871, 0.1181, 0.0344)
F (0.5918, 0.5644, 0.6223)
F (0.6264, 0.0665, 0.5115)
F (0.7581, 0.5565, 0.1773)
F (0.8600, 0.7450, 0.0439)
F (0.9644, 0.2260, 0.5149)